TmLuAlPb (GGA-PBE, optimized geometry); M_tot = 0.000 μB/atom; formation energy from the elements = -0.27 eV/atom; Fermi-level density of states = 0.844 states/eV per atom; SG = F-43m, No. 216; calculated total energy = -4.384 eV/atom
1.0
0.000 3.694 3.694
3.694 0.000 3.694
3.694 3.694 0.000
Tm Lu Al Pb
1 1 1 1
Direct
0.000 0.000 0.000
0.500 0.500 0.500
0.250 0.250 0.250
0.750 0.750 0.750

LaMoPb2 (GGA-PBE, optimized geometry); M_tot = 0.000 μB/atom; formation energy from the elements = 0.17 eV/atom; Fermi-level density of states = 0.892 states/eV per atom; energy relative to the lowest polymorph listed for this composition = 5 meV/atom; SG = P4/mmm, No. 123; calculated total energy = -5.628 eV/atom
1.0
3.577 0.000 0.000
0.000 3.577 0.000
0.000 0.000 7.771
La Mo Pb
1 1 2
Direct
0.000 0.000 0.000
0.000 0.000 0.500
0.500 0.500 0.295
0.500 0.500 0.705

In6Hg3Ge (GGA-PBE, optimized geometry); M_tot = 0.000 μB/atom; formation energy from the elements = 0.05 eV/atom; Fermi-level density of states = 0.429 states/eV per atom; SG = P-1, No. 2; calculated total energy = -2.143 eV/atom
1.0
4.255 0.000 0.000
0.009 11.716 0.000
0.005 5.221 10.862
In Hg Ge
12 6 2
Direct
0.249 0.099 0.360
0.249 0.358 0.541
0.250 0.129 0.961
0.250 0.551 0.728
0.250 0.653 0.054
0.250 0.866 0.241
0.750 0.134 0.759
0.750 0.347 0.946
0.750 0.449 0.272
0.750 0.871 0.039
0.751 0.642 0.459
0.751 0.901 0.640
0.250 0.360 0.128
0.251 0.811 0.515
0.251 0.920 0.817
0.749 0.080 0.183
0.749 0.189 0.485
0.750 0.640 0.872
0.250 0.598 0.314
0.750 0.402 0.686

BeAlSb (GGA-PBE, optimized geometry); M_tot = 0.000 μB/atom; E_form (uncorrected) = 0.64 eV per atom; Fermi-level density of states = 0.560 states/eV per atom; energy relative to the lowest polymorph listed for this composition = 342 meV/atom; SG = F-43m, No. 216; calculated total energy = -3.224 eV/atom
1.0
0.000 3.226 3.226
3.226 0.000 3.226
3.226 3.226 0.000
Be Al Sb
1 1 1
Direct
0.000 0.000 0.000
0.500 0.500 0.500
0.750 0.750 0.750

Ce4TmIn5 (GGA-PBE, optimized geometry); M_tot = 0.404 μB/atom; formation energy from the elements = -0.38 eV/atom; Fermi-level density of states = 2.393 states/eV per atom; SG = P4/mmm, No. 123; calculated total energy = -4.566 eV/atom
1.0
3.376 0.000 0.000
0.000 3.376 0.000
0.000 0.000 23.491
Ce Tm In
4 1 5
Direct
0.000 0.000 0.101
0.000 0.000 0.304
0.000 0.000 0.696
0.000 0.000 0.899
0.000 0.000 0.500
0.500 0.500 0.000
0.500 0.500 0.203
0.500 0.500 0.405
0.500 0.500 0.595
0.500 0.500 0.797

Ga2BPt8 (GGA-PBE, optimized geometry); M_tot = 0.000 μB/atom; formation energy from the elements = -0.31 eV/atom; Fermi-level density of states = 0.440 states/eV per atom; SG = C2/m, No. 12; calculated total energy = -5.865 eV/atom
1.0
7.863 -2.062 0.000
7.863 2.062 0.000
-1.836 0.000 5.112
Ga B Pt
2 1 8
Direct
0.176 0.176 0.214
0.824 0.824 0.786
0.500 0.500 0.500
0.014 0.014 0.262
0.214 0.214 0.784
0.365 0.365 0.567
0.396 0.396 0.116
0.604 0.604 0.884
0.635 0.635 0.433
0.786 0.786 0.216
0.986 0.986 0.738